# LiYMg14O16

A relaxed structure of LiYMg14O16 (PBE, the Alexandria database).

Total moment: 0.0 μB per formula unit
ΔE_f (raw): -2.69 eV/atom

Cell lengths 8.631, 8.631, 4.318 Å; angles 90.00, 90.00, 90.00 degrees
Space group P4/mmm (No. 123)
One atom of each set of equivalent atoms:
Li (0.000, 0.000, 0.000)
Y (0.500, 0.500, 0.000)
Mg (0.000, 0.241, 0.500)
Mg (0.000, 0.500, 0.000)
Mg (0.235, 0.500, 0.500)
Mg (0.238, 0.238, 0.000)
O (0.000, 0.000, 0.500)
O (0.000, 0.257, 0.000)
O (0.000, 0.500, 0.500)
O (0.242, 0.500, 0.000)
O (0.252, 0.252, 0.500)
O (0.500, 0.500, 0.500)

# LiYMg6O8

A relaxed structure of LiYMg6O8 (PBE, the Alexandria database).

Total moment: 0.0 μB per formula unit
Distance to the lowest polymorph of the same formula: 0.00 eV per formula unit
ΔE_f (raw): -2.70 eV/atom

Cell lengths 4.351, 4.351, 8.773 Å; angles 90.00, 90.00, 90.00 degrees
Space group P4/mmm (No. 123)
One atom of each set of equivalent atoms:
Li (0.000, 0.000, 0.000)
Y (0.500, 0.500, 0.000)
Mg (0.000, 0.000, 0.500)
Mg (0.000, 0.500, 0.260)
Mg (0.500, 0.500, 0.500)
O (0.000, 0.000, 0.262)
O (0.000, 0.500, 0.000)
O (0.000, 0.500, 0.500)
O (0.500, 0.500, 0.261)

# LiYMg6O8

A relaxed structure of LiYMg6O8 (PBE, the Alexandria database).

Total moment: 0.0 μB per formula unit
Distance to the lowest polymorph of the same formula: 0.64 eV per formula unit
ΔE_f (raw): -2.66 eV/atom

Cell lengths 4.362, 4.362, 8.829 Å; angles 90.00, 90.00, 90.00 degrees
Space group P4/mmm (No. 123)
One atom of each set of equivalent atoms:
Li (0.000, 0.000, 0.000)
Y (0.000, 0.000, 0.500)
Mg (0.000, 0.500, 0.225)
Mg (0.500, 0.500, 0.000)
Mg (0.500, 0.500, 0.500)
O (0.000, 0.000, 0.247)
O (0.000, 0.500, 0.000)
O (0.000, 0.500, 0.500)
O (0.500, 0.500, 0.253)

# LiYMg14O16

A relaxed structure of LiYMg14O16 (PBE, the Alexandria database).

Total moment: 0.0 μB per formula unit
ΔE_f (raw): -2.69 eV/atom

Cell lengths 4.314, 8.609, 8.646 Å; angles 90.00, 90.00, 90.00 degrees
Space group Pmmm (No. 47)
One atom of each set of equivalent atoms:
Li (0.000, 0.000, 0.000)
Y (0.000, 0.000, 0.500)
Mg (0.000, 0.253, 0.238)
Mg (0.000, 0.500, 0.000)
Mg (0.000, 0.500, 0.500)
Mg (0.500, 0.000, 0.230)
Mg (0.500, 0.246, 0.000)
Mg (0.500, 0.262, 0.500)
Mg (0.500, 0.500, 0.246)
O (0.000, 0.000, 0.244)
O (0.000, 0.260, 0.500)
O (0.000, 0.261, 0.000)
O (0.000, 0.500, 0.251)
O (0.500, 0.000, 0.000)
O (0.500, 0.000, 0.500)
O (0.500, 0.249, 0.252)
O (0.500, 0.500, 0.000)
O (0.500, 0.500, 0.500)

# Li2MgZrO4

A relaxed structure of Li2MgZrO4 (PBE, the Alexandria database).

Total moment: 0.0 μB per formula unit
Distance to the lowest polymorph of the same formula: 0.00 eV per formula unit
ΔE_f (raw): -2.68 eV/atom

Cell lengths 4.257, 4.257, 9.089 Å; angles 90.00, 90.00, 90.00 degrees
Space group I-4m2 (No. 119)
One atom of each set of equivalent atoms:
Li (0.000, 0.000, 0.000)
Li (0.000, 0.500, 0.250)
Mg (0.000, 0.000, 0.500)
Zr (0.000, 0.500, 0.750)
O (0.000, 0.000, 0.264)
O (0.000, 0.500, 0.519)

# Li2MgZrO4

A relaxed structure of Li2MgZrO4 (PBE, the Alexandria database).

Total moment: 0.0 μB per formula unit
Distance to the lowest polymorph of the same formula: 0.34 eV per formula unit
ΔE_f (raw): -2.64 eV/atom

Cell lengths 6.165, 6.350, 8.571 Å; angles 90.00, 90.00, 90.00 degrees
Space group Imma (No. 74)
One atom of each set of equivalent atoms:
Li (0.000, 0.000, 0.000)
Li (0.250, 0.250, 0.250)
Mg (0.250, 0.250, 0.750)
Zr (0.000, 0.000, 0.500)
O (0.000, 0.018, 0.744)
O (0.234, 0.250, 0.500)

# LiMgOs2

A relaxed structure of LiMgOs2 (PBE, the Alexandria database).

Total moment: 0.0 μB per formula unit
Energy relative to the elements: 0.84 eV/f.u.

Cell lengths 2.687, 4.487, 4.855 Å; angles 90.00, 96.72, 90.00 degrees
Space group P2/m (No. 10)
One atom of each set of equivalent atoms:
Li (0.000, 0.000, 0.000)
Mg (0.500, 0.000, 0.500)
Os (0.211, 0.500, 0.764)

# LiMgOs2

A relaxed structure of LiMgOs2 (PBE, the Alexandria database).

Total moment: 0.0 μB per formula unit
Energy relative to the elements: 0.81 eV/f.u.

Cell lengths 2.891, 4.427, 4.541 Å; angles 90.00, 90.00, 90.00 degrees
Space group Pmmm (No. 47)
One atom of each set of equivalent atoms:
Li (0.000, 0.000, 0.000)
Mg (0.500, 0.500, 0.000)
Os (0.000, 0.500, 0.500)
Os (0.500, 0.000, 0.500)

# LiMgOs

A relaxed structure of LiMgOs (PBE, the Alexandria database).

Total moment: 1.2 μB per formula unit
Distance to the lowest polymorph of the same formula: 2.97 eV per formula unit
Energy relative to the elements: 3.05 eV/f.u.

Cell lengths 5.821, 5.821, 5.821 Å; angles 90.00, 90.00, 90.00 degrees
Space group F-43m (No. 216)
One atom of each set of equivalent atoms:
Li (0.000, 0.000, 0.000)
Mg (0.250, 0.250, 0.250)
Os (0.250, 0.250, 0.750)

# LiMgOs2

A relaxed structure of LiMgOs2 (PBE, the Alexandria database).

Total moment: 0.0 μB per formula unit
Energy relative to the elements: 0.44 eV/f.u.

Cell lengths 2.905, 2.905, 6.974 Å; angles 90.00, 90.00, 90.00 degrees
Space group P4mm (No. 99)
One atom of each set of equivalent atoms:
Li (0.000, 0.000, 0.000)
Mg (0.500, 0.500, 0.264)
Os (0.000, 0.000, 0.538)
Os (0.500, 0.500, 0.766)

# Li2MgOs

A relaxed structure of Li2MgOs (PBE, the Alexandria database).

Total moment: 0.6 μB per formula unit
Energy relative to the elements: 1.69 eV/f.u.

Cell lengths 6.253, 6.253, 6.253 Å; angles 90.00, 90.00, 90.00 degrees
Space group F-43m (No. 216)
One atom of each set of equivalent atoms:
Li (0.000, 0.000, 0.000)
Li (0.250, 0.250, 0.250)
Mg (0.000, 0.000, 0.500)
Os (0.250, 0.250, 0.750)

# LiMgOs

A relaxed structure of LiMgOs (PBE, the Alexandria database).

Total moment: 0.0 μB per formula unit
Distance to the lowest polymorph of the same formula: 0.62 eV per formula unit
Energy relative to the elements: 0.70 eV/f.u.

Cell lengths 2.913, 4.585, 14.132 Å; angles 90.00, 90.00, 90.00 degrees
Space group Fmm2 (No. 42)
One atom of each set of equivalent atoms:
Li (0.000, 0.000, 0.000)
Mg (0.000, 0.000, 0.317)
Os (0.000, 0.000, 0.655)